1.
LiIn2HgRh | GGA-PBE | relaxed

The calculation puts the density of states at the Fermi level at 0.777 states/eV per atom.

Cell lengths 5.294, 5.294, 4.600 Å; angles 90.00, 90.00, 90.00 degrees
Space group P4/mmm (No. 123)
Unique sites:
Li 0.000 0.000 0.000 x1
In 0.000 0.500 0.500 x2
Hg 0.000 0.000 0.500 x1
Rh 0.500 0.500 0.000 x1


2.
Mg2Zn | GGA-PBE | relaxed

The calculation puts the density of states at the Fermi level at 0.199 states/eV per atom.

Cell lengths 11.649, 3.026, 6.914 Å; angles 90.00, 104.48, 90.00 degrees
Space group C2/m (No. 12)
Unique sites:
Mg 0.138 0.000 0.043 x4
Mg 0.174 0.000 0.617 x4
Zn 0.024 0.500 0.298 x4


no.,VASP energy (eV/atom)
1,-2.3049
2,-1.5280